1.
DFT (GGA-PBE) results for a relaxed Pr2Ga12Pd crystal.

POSCAR file:
```
Pr2Ga12Pd
1.0
6.198 0.000 0.000
0.000 6.198 0.000
0.000 0.000 15.473
Pr Ga Pd
4 24 2
Direct
0.500 0.000 0.244
0.000 0.500 0.244
0.000 0.500 0.756
0.500 0.000 0.756
0.500 0.500 0.814
0.000 0.000 0.814
0.750 0.750 0.911
0.250 0.750 0.911
0.000 0.000 0.346
0.250 0.750 0.089
0.831 0.331 0.569
0.500 0.500 0.346
0.250 0.250 0.911
0.750 0.750 0.089
0.331 0.169 0.569
0.669 0.169 0.431
0.000 0.000 0.654
0.169 0.331 0.431
0.250 0.250 0.089
0.831 0.669 0.431
0.669 0.831 0.569
0.000 0.000 0.186
0.169 0.669 0.569
0.500 0.500 0.654
0.750 0.250 0.911
0.500 0.500 0.186
0.331 0.831 0.431
0.750 0.250 0.089
0.500 0.000 0.000
0.000 0.500 0.000
```

Calculated values
Crystal system ... tetragonal
Mass density ... 6.84 g/cm3

2.
DFT (GGA-PBE) results for a relaxed PrGa4Pd2 crystal.

POSCAR file:
```
PrGa4Pd2
1.0
-0.389 -0.089 4.248
-7.620 -1.809 -0.736
1.816 -7.653 0.005
Pr Ga Pd
2 8 4
Direct
0.500 0.000 0.000
0.000 0.500 0.500
0.000 0.085 0.334
0.000 0.915 0.666
0.500 0.166 0.585
0.500 0.834 0.415
0.500 0.415 0.834
0.500 0.585 0.166
0.000 0.334 0.085
0.000 0.666 0.915
0.000 0.217 0.783
0.000 0.783 0.217
0.500 0.717 0.717
0.500 0.283 0.283
```

Calculated values
Crystal system ... tetragonal
Excess energy over the best structure of this formula in the dataset ... 0.123 eV/atom
Mass density ... 7.96 g/cm3

3.
DFT (GGA-PBE) results for a relaxed PrGa8Pd4 crystal.

POSCAR file:
```
PrGa8Pd4
1.0
-1.116 1.203 -5.322
5.360 -0.947 -4.253
-2.382 -5.373 -3.629
Pr Ga Pd
1 8 4
Direct
0.000 0.000 0.000
0.000 0.350 0.650
0.000 0.650 0.350
0.350 0.650 0.650
0.650 0.350 0.350
0.500 0.781 0.219
0.500 0.219 0.781
0.281 0.219 0.219
0.719 0.781 0.781
0.000 0.000 0.500
0.500 0.000 0.500
0.000 0.500 0.000
0.500 0.500 0.000
```

Calculated values
Crystal system ... tetragonal
Mass density ... 8.39 g/cm3

4.
DFT (GGA-PBE) results for a relaxed PrGa4Pd2 crystal.

POSCAR file:
```
PrGa4Pd2
1.0
4.413 0.000 0.000
0.000 6.616 0.000
0.000 0.000 17.643
Pr Pd Ga
4 8 16
Direct
0.750 0.993 0.639
0.250 0.007 0.361
0.250 0.493 0.861
0.750 0.507 0.139
0.250 0.747 0.535
0.750 0.253 0.465
0.750 0.247 0.965
0.250 0.753 0.035
0.250 0.977 0.782
0.750 0.023 0.218
0.750 0.477 0.718
0.250 0.523 0.282
0.250 0.281 0.690
0.750 0.719 0.310
0.750 0.781 0.810
0.250 0.219 0.190
0.250 0.681 0.683
0.750 0.319 0.317
0.750 0.181 0.817
0.250 0.819 0.183
0.250 0.172 0.537
0.750 0.828 0.463
0.750 0.672 0.963
0.250 0.328 0.037
0.250 0.488 0.426
0.750 0.512 0.574
0.750 0.988 0.074
0.250 0.012 0.926
```

Calculated values
Crystal system ... orthorhombic
Excess energy over the best structure of this formula in the dataset ... 0.000 eV/atom
Mass density ... 8.16 g/cm3

5.
DFT (GGA-PBE) results for a relaxed PrGa5Pd2Pt crystal.

POSCAR file:
```
PrGa5Pd2Pt
1.0
4.325 0.000 0.000
0.000 4.325 0.000
0.000 0.000 10.153
Pr Ga Pd Pt
1 5 2 1
Direct
0.000 0.000 0.500
0.000 0.500 0.146
0.500 0.000 0.146
0.000 0.500 0.854
0.500 0.000 0.854
0.500 0.500 0.500
0.500 0.500 0.269
0.500 0.500 0.731
0.000 0.000 0.000
```

Calculated values
Crystal system ... tetragonal
Mass density ... 7.85 g/cm3

6.
DFT (GGA-PBE) results for a relaxed Pr2Ga3Pd4Pt crystal.

POSCAR file:
```
Pr2Ga3Pd4Pt
1.0
-1.434 -3.837 -0.280
3.840 -1.446 0.149
-0.671 -0.590 11.541
Pr Ga Pd Pt
2 3 4 1
Direct
0.500 0.000 0.265
0.000 0.500 0.735
0.000 0.000 0.500
0.500 0.000 0.871
0.000 0.500 0.129
0.500 0.500 0.000
0.000 0.000 0.000
0.500 0.000 0.656
0.000 0.500 0.344
0.500 0.500 0.500
```

Calculated values
Crystal system ... tetragonal
Mass density ... 9.46 g/cm3

7.
DFT (GGA-PBE) results for a relaxed Pr2Ga3Pd12Pt crystal.

POSCAR file:
```
Pr2Ga3Pd12Pt
1.0
7.609 -0.463 -0.328
3.355 6.845 -0.328
3.355 1.953 6.569
Pr Ga Pd Pt
2 3 12 1
Direct
0.609 0.609 0.609
0.391 0.391 0.391
0.500 0.000 0.000
0.000 0.500 0.000
0.000 0.000 0.500
0.366 0.366 0.898
0.853 0.853 0.380
0.380 0.853 0.853
0.898 0.366 0.366
0.853 0.380 0.853
0.366 0.898 0.366
0.634 0.634 0.102
0.147 0.147 0.620
0.620 0.147 0.147
0.102 0.634 0.634
0.147 0.620 0.147
0.634 0.102 0.634
0.000 0.000 0.000
```

Calculated values
Crystal system ... trigonal
Mass density ... 8.98 g/cm3

8.
DFT (GGA-PBE) results for a relaxed Pr2Ga4PdPt3 crystal.

POSCAR file:
```
Pr2Ga4PdPt3
1.0
-3.042 -2.839 1.367
2.502 -3.331 -1.351
4.472 -0.368 9.189
Pr Ga Pd Pt
2 4 1 3
Direct
0.500 0.000 0.247
0.000 0.500 0.753
0.500 0.500 0.000
0.000 0.000 0.000
0.500 0.000 0.627
0.000 0.500 0.373
0.500 0.500 0.500
0.000 0.000 0.500
0.500 0.000 0.870
0.000 0.500 0.130
```

Calculated values
Crystal system ... tetragonal
Mass density ... 10.60 g/cm3

9.
DFT (GGA-PBE) results for a relaxed PrGa4Pd2Pt crystal.

POSCAR file:
```
PrGa4Pd2Pt
1.0
-1.584 -3.827 1.251
2.518 -2.785 2.151
-2.313 1.420 8.897
Pr Ga Pd Pt
1 4 2 1
Direct
0.000 0.000 0.000
0.400 0.400 0.799
0.868 0.868 0.395
0.132 0.132 0.605
0.600 0.600 0.201
0.761 0.761 0.716
0.239 0.239 0.284
0.500 0.500 0.500
```

Calculated values
Crystal system ... trigonal
Mass density ... 9.46 g/cm3

| no. | formation enthalpy at 0 K (eV/atom) |
| --- | --- |
| 1 | -0.432 |
| 2 | -0.570 |
| 3 | -0.556 |
| 4 | -0.693 |
| 5 | -0.463 |
| 6 | -0.770 |
| 7 | -0.214 |
| 8 | -0.943 |
| 9 | -0.664 |